# Ca2PrNi9, optimized geometry, DFT PBE
# Magnetization: 5.610 Bohr magnetons per cell
data_Ca2PrNi9
_chemical_formula_sum 'Ca6 Pr3 Ni27'
_cell_length_a 5.0283
_cell_length_b 5.0283
_cell_length_c 24.3929
_cell_angle_alpha 90.00
_cell_angle_beta 90.00
_cell_angle_gamma 120.00
_symmetry_space_group_name_H-M 'R -3 m'
_symmetry_Int_Tables_number 166
_symmetry_space_group_name_Hall '-R 3 2"'
loop_
_atom_site_label
_atom_site_type_symbol
_atom_site_fract_x
_atom_site_fract_y
_atom_site_fract_z
_atom_site_occupancy
Ca1 Ca 0.0000 0.0000 0.1419 1
Pr1 Pr 0.0000 0.0000 0.0000 1
Ni1 Ni 0.0000 0.0000 0.3325 1
Ni2 Ni 0.0000 0.0000 0.5000 1
Ni3 Ni 0.0021 0.5011 0.0812 1

---

# Ac3SnGe5, optimized geometry, DFT PBE
# Magnetization: 0.000 Bohr magnetons per cell
data_Ac3SnGe5
_chemical_formula_sum 'Ac6 Sn2 Ge10'
_cell_length_a 9.2793
_cell_length_b 9.2793
_cell_length_c 6.5865
_cell_angle_alpha 90.00
_cell_angle_beta 90.00
_cell_angle_gamma 120.00
_symmetry_space_group_name_H-M 'P 63/m c m'
_symmetry_Int_Tables_number 193
_symmetry_space_group_name_Hall '-P 6c 2'
loop_
_atom_site_label
_atom_site_type_symbol
_atom_site_fract_x
_atom_site_fract_y
_atom_site_fract_z
_atom_site_occupancy
Ac1 Ac 0.0000 0.3743 0.2500 1
Sn1 Sn 0.0000 0.0000 0.0000 1
Ge1 Ge 0.0000 0.2867 0.7500 1
Ge2 Ge 0.3333 0.6667 0.0000 1

---

# Nb8V2Tc, optimized geometry, DFT PBE
# Magnetization: 0.000 Bohr magnetons per cell
data_Nb8V2Tc
_chemical_formula_sum 'Nb16 V4 Tc2'
_cell_length_a 13.900
_cell_length_b 5.397
_cell_length_c 5.196
_cell_angle_alpha 90.00
_cell_angle_beta 95.07
_cell_angle_gamma 90.00
_symmetry_space_group_name_H-M 'C 1 2/m 1'
_symmetry_Int_Tables_number 12
loop_
_symmetry_equiv_pos_as_xyz
'x,y,z'
'-x,-y,-z'
'-x,y,-z'
'x,-y,z'
'x+1/2,y+1/2,z'
'-x+1/2,-y+1/2,-z'
'-x+1/2,y+1/2,-z'
'x+1/2,-y+1/2,z'
loop_
_atom_site_label
_atom_site_type_symbol
_atom_site_fract_x
_atom_site_fract_y
_atom_site_fract_z
_atom_site_occupancy
Nb1 Nb 0.085 0.000 0.122 1
Nb2 Nb 0.097 0.255 0.625 1
Nb3 Nb 0.206 0.500 0.119 1
V1 V 0.238 0.000 0.376 1
Tc1 Tc 0.000 0.500 0.000 1

---

# Zr3NpTe6, optimized geometry, DFT PBE
# Magnetization: 8.088 Bohr magnetons per cell
# ΔE_f (raw): -7.74 eV/f.u.
data_Zr3NpTe6
_chemical_formula_sum 'Zr6 Np2 Te12'
_cell_length_a 11.963
_cell_length_b 4.036
_cell_length_c 12.394
_cell_angle_alpha 90.00
_cell_angle_beta 108.56
_cell_angle_gamma 90.00
_symmetry_space_group_name_H-M 'P 1 21/m 1'
_symmetry_Int_Tables_number 11
loop_
_symmetry_equiv_pos_as_xyz
'x,y,z'
'-x,-y,-z'
'-x,y+1/2,-z'
'x,-y+1/2,z'
loop_
_atom_site_label
_atom_site_type_symbol
_atom_site_fract_x
_atom_site_fract_y
_atom_site_fract_z
_atom_site_occupancy
Zr1 Zr 0.057 0.250 0.135 1
Zr2 Zr 0.182 0.750 0.512 1
Zr3 Zr 0.380 0.250 0.929 1
Np1 Np 0.451 0.250 0.296 1
Te1 Te 0.015 0.250 0.377 1
Te2 Te 0.124 0.250 0.927 1
Te3 Te 0.225 0.750 0.281 1
Te4 Te 0.305 0.750 0.753 1
Te5 Te 0.376 0.250 0.530 1
Te6 Te 0.389 0.750 0.097 1

---

# YBiTe2, optimized geometry, DFT PBE
# Magnetization: 0.000 Bohr magnetons per cell
# ΔE_f (raw): -2.90 eV/f.u.
data_YBiTe2
_chemical_formula_sum 'Y3 Bi3 Te6'
_cell_length_a 4.2059
_cell_length_b 4.2059
_cell_length_c 29.4584
_cell_angle_alpha 90.00
_cell_angle_beta 90.00
_cell_angle_gamma 120.00
_symmetry_space_group_name_H-M 'R -3 m'
_symmetry_Int_Tables_number 166
_symmetry_space_group_name_Hall '-R 3 2"'
loop_
_atom_site_label
_atom_site_type_symbol
_atom_site_fract_x
_atom_site_fract_y
_atom_site_fract_z
_atom_site_occupancy
Y1 Y 0.0000 0.0000 0.0000 1
Bi1 Bi 0.0000 0.0000 0.5000 1
Te1 Te 0.0000 0.0000 0.3958 1

---

# ZnInAg2, optimized geometry, DFT PBE
# Magnetization: 0.000 Bohr magnetons per cell
data_ZnInAg2
_chemical_formula_sum 'Zn2 In2 Ag4'
_cell_length_a 3.580
_cell_length_b 4.529
_cell_length_c 9.159
_cell_angle_alpha 90.00
_cell_angle_beta 90.00
_cell_angle_gamma 90.00
_symmetry_space_group_name_H-M 'I m m 2'
_symmetry_Int_Tables_number 44
loop_
_symmetry_equiv_pos_as_xyz
'x,y,z'
'-x,-y,z'
'-x,y,z'
'x,-y,z'
'x+1/2,y+1/2,z+1/2'
'-x+1/2,-y+1/2,z+1/2'
'-x+1/2,y+1/2,z+1/2'
'x+1/2,-y+1/2,z+1/2'
loop_
_atom_site_label
_atom_site_type_symbol
_atom_site_fract_x
_atom_site_fract_y
_atom_site_fract_z
_atom_site_occupancy
Zn1 Zn 0.000 0.000 0.000 1
In1 In 0.000 0.500 0.755 1
Ag1 Ag 0.000 0.000 0.516 1
Ag2 Ag 0.000 0.500 0.269 1

---

# BaBe2F, optimized geometry, DFT PBE
# Offset from the most stable computed form: 0.00 eV/f.u.
# Magnetization: 0.000 Bohr magnetons per cell
# ΔE_f (raw): 0.02 eV/f.u.
data_BaBe2F
_chemical_formula_sum 'Ba4 Be8 F4'
_cell_length_a 6.119
_cell_length_b 6.119
_cell_length_c 8.677
_cell_angle_alpha 90.00
_cell_angle_beta 90.00
_cell_angle_gamma 90.00
_symmetry_space_group_name_H-M 'I 41/a m d'
_symmetry_Int_Tables_number 141
loop_
_symmetry_equiv_pos_as_xyz
'x,y,z'
'-x,-y,-z'
'-y+1/4,x+3/4,z+1/4'
'y+1/4,-x+3/4,-z+1/4'
'-x+1/2,-y,z+1/2'
'x+1/2,y,-z+1/2'
'y+1/4,-x+1/4,z+3/4'
'-y+1/4,x+1/4,-z+3/4'
'x,-y,-z'
'-x,y,z'
'-y+1/4,-x+1/4,-z+3/4'
'y+1/4,x+1/4,z+3/4'
'-x+1/2,y,-z+1/2'
'x+1/2,-y,z+1/2'
'y+1/4,x+3/4,-z+1/4'
'-y+1/4,-x+3/4,z+1/4'
'x+1/2,y+1/2,z+1/2'
'-x+1/2,-y+1/2,-z+1/2'
'-y+3/4,x+1/4,z+3/4'
'y+3/4,-x+1/4,-z+3/4'
'-x,-y+1/2,z'
'x,y+1/2,-z'
'y+3/4,-x+3/4,z+1/4'
'-y+3/4,x+3/4,-z+1/4'
'x+1/2,-y+1/2,-z+1/2'
'-x+1/2,y+1/2,z+1/2'
'-y+3/4,-x+3/4,-z+1/4'
'y+3/4,x+3/4,z+1/4'
'-x,y+1/2,-z'
'x,-y+1/2,z'
'y+3/4,x+1/4,-z+3/4'
'-y+3/4,-x+1/4,z+3/4'
loop_
_atom_site_label
_atom_site_type_symbol
_atom_site_fract_x
_atom_site_fract_y
_atom_site_fract_z
_atom_site_occupancy
Ba1 Ba 0.000 0.250 0.375 1
Be1 Be 0.000 0.000 0.000 1
F1 F 0.000 0.250 0.875 1

---

# TbSmCuPt, optimized geometry, DFT PBE
# Offset from the most stable computed form: 0.19 eV/f.u.
# Magnetization: 0.000 Bohr magnetons per cell
data_TbSmCuPt
_chemical_formula_sum 'Tb4 Sm4 Cu4 Pt4'
_cell_length_a 7.058
_cell_length_b 7.058
_cell_length_c 7.058
_cell_angle_alpha 90.00
_cell_angle_beta 90.00
_cell_angle_gamma 90.00
_symmetry_space_group_name_H-M 'F -4 3 m'
_symmetry_Int_Tables_number 216
_symmetry_space_group_name_Hall 'F -4 2 3'
loop_
_atom_site_label
_atom_site_type_symbol
_atom_site_fract_x
_atom_site_fract_y
_atom_site_fract_z
_atom_site_occupancy
Tb1 Tb 0.000 0.000 0.000 1
Sm1 Sm 0.000 0.000 0.500 1
Cu1 Cu 0.250 0.250 0.250 1
Pt1 Pt 0.250 0.250 0.750 1

---

# PaH6Pd2, optimized geometry, DFT PBE
# Magnetization: 0.882 Bohr magnetons per cell
data_PaH6Pd2
_chemical_formula_sum 'Pa1 H6 Pd2'
_cell_length_a 4.6391
_cell_length_b 4.6391
_cell_length_c 4.2547
_cell_angle_alpha 90.00
_cell_angle_beta 90.00
_cell_angle_gamma 120.00
_symmetry_space_group_name_H-M 'P 6/m m m'
_symmetry_Int_Tables_number 191
_symmetry_space_group_name_Hall '-P 6 2'
loop_
_atom_site_label
_atom_site_type_symbol
_atom_site_fract_x
_atom_site_fract_y
_atom_site_fract_z
_atom_site_occupancy
Pa1 Pa 0.0000 0.0000 0.0000 1
H1 H 0.0000 0.5000 0.2036 1
Pd1 Pd 0.3333 0.6667 0.5000 1

---

# UPa2Ge, optimized geometry, DFT PBE
# Offset from the most stable computed form: 1.03 eV/f.u.
# Magnetization: 12.790 Bohr magnetons per cell
data_UPa2Ge
_chemical_formula_sum 'U4 Pa8 Ge4'
_cell_length_a 7.060
_cell_length_b 7.060
_cell_length_c 7.060
_cell_angle_alpha 90.00
_cell_angle_beta 90.00
_cell_angle_gamma 90.00
_symmetry_space_group_name_H-M 'F m -3 m'
_symmetry_Int_Tables_number 225
_symmetry_space_group_name_Hall '-F 4 2 3'
loop_
_atom_site_label
_atom_site_type_symbol
_atom_site_fract_x
_atom_site_fract_y
_atom_site_fract_z
_atom_site_occupancy
U1 U 0.000 0.000 0.000 1
Pa1 Pa 0.250 0.250 0.250 1
Ge1 Ge 0.000 0.000 0.500 1

---

# CeCd6Hg12, optimized geometry, DFT PBE
# Offset from the most stable computed form: 0.82 eV/f.u.
# Magnetization: 3.921 Bohr magnetons per cell
data_CeCd6Hg12
_chemical_formula_sum 'Ce3 Cd18 Hg36'
_cell_length_a 13.5829
_cell_length_b 13.5829
_cell_length_c 9.5058
_cell_angle_alpha 90.00
_cell_angle_beta 90.00
_cell_angle_gamma 120.00
_symmetry_space_group_name_H-M 'R -3 m'
_symmetry_Int_Tables_number 166
_symmetry_space_group_name_Hall '-R 3 2"'
loop_
_atom_site_label
_atom_site_type_symbol
_atom_site_fract_x
_atom_site_fract_y
_atom_site_fract_z
_atom_site_occupancy
Ce1 Ce 0.0000 0.0000 0.0000 1
Cd1 Cd 0.0678 0.5339 0.2262 1
Hg1 Hg 0.0000 0.3879 0.5000 1
Hg2 Hg 0.0808 0.1615 0.2725 1

---

# PrHo6Er2Tm, optimized geometry, DFT PBE
# Magnetization: 0.000 Bohr magnetons per cell
data_PrHo6Er2Tm
_chemical_formula_sum 'Pr4 Ho24 Er8 Tm4'
_cell_length_a 9.080
_cell_length_b 14.946
_cell_length_c 9.421
_cell_angle_alpha 90.00
_cell_angle_beta 96.12
_cell_angle_gamma 90.00
_symmetry_space_group_name_H-M 'C 1 2/c 1'
_symmetry_Int_Tables_number 15
loop_
_symmetry_equiv_pos_as_xyz
'x,y,z'
'-x,-y,-z'
'-x,y,-z+1/2'
'x,-y,z+1/2'
'x+1/2,y+1/2,z'
'-x+1/2,-y+1/2,-z'
'-x+1/2,y+1/2,-z+1/2'
'x+1/2,-y+1/2,z+1/2'
loop_
_atom_site_label
_atom_site_type_symbol
_atom_site_fract_x
_atom_site_fract_y
_atom_site_fract_z
_atom_site_occupancy
Pr1 Pr 0.000 0.028 0.250 1
Ho1 Ho 0.061 0.185 0.943 1
Ho2 Ho 0.099 0.390 0.116 1
Ho3 Ho 0.212 0.226 0.317 1
Er1 Er 0.246 0.447 0.452 1
Tm1 Tm 0.000 0.411 0.750 1

---

# Ba2AlPd2, optimized geometry, DFT PBE
# Magnetization: 0.000 Bohr magnetons per cell
data_Ba2AlPd2
_chemical_formula_sum 'Ba4 Al2 Pd4'
_cell_length_a 7.591
_cell_length_b 7.591
_cell_length_c 4.780
_cell_angle_alpha 90.00
_cell_angle_beta 90.00
_cell_angle_gamma 90.00
_symmetry_space_group_name_H-M 'P 4/m b m'
_symmetry_Int_Tables_number 127
_symmetry_space_group_name_Hall '-P 4 2ab'
loop_
_atom_site_label
_atom_site_type_symbol
_atom_site_fract_x
_atom_site_fract_y
_atom_site_fract_z
_atom_site_occupancy
Ba1 Ba 0.175 0.325 0.000 1
Al1 Al 0.000 0.000 0.500 1
Pd1 Pd 0.136 0.636 0.500 1

---

# Ba2BiRh3O12, optimized geometry, DFT PBE
# Magnetization: 3.057 Bohr magnetons per cell
# ΔE_f (raw): -19.92 eV/f.u.
data_Ba2BiRh3O12
_chemical_formula_sum 'Ba6 Bi3 Rh9 O36'
_cell_length_a 7.1776
_cell_length_b 7.1776
_cell_length_c 17.9965
_cell_angle_alpha 90.00
_cell_angle_beta 90.00
_cell_angle_gamma 120.00
_symmetry_space_group_name_H-M 'R -3 m'
_symmetry_Int_Tables_number 166
_symmetry_space_group_name_Hall '-R 3 2"'
loop_
_atom_site_label
_atom_site_type_symbol
_atom_site_fract_x
_atom_site_fract_y
_atom_site_fract_z
_atom_site_occupancy
Ba1 Ba 0.0000 0.0000 0.1181 1
Bi1 Bi 0.0000 0.0000 0.5000 1
Rh1 Rh 0.0000 0.5000 0.0000 1
O1 O 0.0229 0.5114 0.1114 1
O2 O 0.0586 0.5293 0.3436 1

---

no.,E (eV per cell)
1,-190.55
2,-85.80
3,-215.04
4,-130.34
5,-58.59
6,-19.18
7,-44.93
8,-89.32
9,-41.43
10,-139.36
11,-44.28
12,-178.51
13,-39.86
14,-327.60